# 1
Ni2SeBr at its PBEsol-relaxed geometry. Source: Alexandria via LeMat-Bulk, functional SCAN.

## Properties
Density of states at the Fermi level ... 2.4 states/eV per cell
SG ... No. 160
Formation energy (no corrections) ... -0.67 eV per formula unit
ΔE to the lowest computed polymorph ... 0 kJ/mol of formula units
Total DFT energy (no corrections) ... -72.56 eV per cell

Lattice parameters (Å, degrees): 3.564 3.563 6.640 105.60 90.00 120.01
Element x y z (fractional)
Br 0.720 0.441 0.161
Ni 0.987 0.974 0.961
Ni 0.254 0.509 0.763
Se 0.538 0.077 0.615

***

# 2
ZnTcOs at its PBEsol-relaxed geometry. Source: Alexandria via LeMat-Bulk, functional SCAN.

## Properties
Density of states at the Fermi level ... 1.6 states/eV per cell
Energy relative to the elements ... -0.0054 eV/atom
SG ... No. 107
ΔE to the lowest computed polymorph ... 0 kJ/mol of formula units
Total DFT energy (no corrections) ... -120.47 eV per cell

Lattice parameters (Å, degrees): 2.842 2.842 5.475 105.04 105.04 90.00
Element x y z (fractional)
Zn 0.334 0.334 0.668
Os 0.004 0.004 0.007
Tc 0.662 0.662 0.324

***

# 3
SrCdHg2 at its PBEsol-relaxed geometry. Source: Alexandria via LeMat-Bulk, functional SCAN.

## Properties
Density of states at the Fermi level ... 1.5 states/eV per cell
Energy relative to the elements ... -0.3914 eV/atom
SG ... No. 8
Total DFT energy (no corrections) ... -190.59 eV per cell

Lattice parameters (Å, degrees): 4.653 5.004 5.544 116.69 114.84 90.01
Element x y z (fractional)
Sr 0.500 0.500 0.000
Hg 0.998 0.998 0.996
Hg 0.742 0.241 0.483
Cd 0.260 0.761 0.520

***

# 4
AgIrAu2 at its PBEsol-relaxed geometry. Source: Alexandria via LeMat-Bulk, functional SCAN.

## Properties
Density of states at the Fermi level ... 3.6 states/eV per cell
Energy relative to the elements ... 0.4716 eV/atom
SG ... No. 216
ΔE to the lowest computed polymorph ... 71 kJ/mol of formula units
Total DFT energy (no corrections) ... -238.89 eV per cell

Lattice parameters (Å, degrees): 4.498 4.498 4.498 60.00 60.00 60.00
Element x y z (fractional)
Ir 0.250 0.250 0.250
Au 0.000 0.000 0.000
Au 0.750 0.750 0.750
Ag 0.500 0.500 0.500

***

# 5
LaSn2Au2 at its PBEsol-relaxed geometry. Source: Alexandria via LeMat-Bulk, functional SCAN.

## Properties
Density of states at the Fermi level ... 1.5 states/eV per cell
Energy relative to the elements ... -0.7256 eV/atom
SG ... No. 139
Total DFT energy (no corrections) ... -256.89 eV per cell

Lattice parameters (Å, degrees): 4.430 4.430 6.824 108.94 108.94 90.00
Element x y z (fractional)
Au 0.392 0.392 0.783
Au 0.608 0.608 0.217
Sn 0.250 0.750 0.500
Sn 0.750 0.250 0.500
La 0.000 0.000 0.000

***

# 6
ZnHg2Br at its PBEsol-relaxed geometry. Source: Alexandria via LeMat-Bulk, functional SCAN.

## Properties
Density of states at the Fermi level ... 1.1 states/eV per cell
SG ... No. 65
Formation energy (no corrections) ... 0.11 eV per formula unit
ΔE to the lowest computed polymorph ... 75 kJ/mol of formula units
Total DFT energy (no corrections) ... -169.20 eV per cell

Lattice parameters (Å, degrees): 4.009 5.429 5.311 59.26 90.00 90.00
Element x y z (fractional)
Br 0.500 0.500 0.000
Hg 0.000 0.000 0.500
Hg 0.000 0.500 0.500
Zn 0.500 0.000 0.000

***

# 7
Zr2CdTc at its PBEsol-relaxed geometry. Source: Alexandria via LeMat-Bulk, functional SCAN.

## Properties
Density of states at the Fermi level ... 3.1 states/eV per cell
Energy relative to the elements ... -0.3875 eV/atom
SG ... No. 123
Total DFT energy (no corrections) ... -128.42 eV per cell

Lattice parameters (Å, degrees): 3.298 3.298 7.019 90.00 90.00 90.00
Element x y z (fractional)
Tc 0.500 0.500 0.500
Zr 0.000 0.000 0.720
Zr 0.000 0.000 0.280
Cd 0.500 0.500 0.000

***

# 8
Mg2AsPb at its PBEsol-relaxed geometry. Source: Alexandria via LeMat-Bulk, functional SCAN.

## Properties
Density of states at the Fermi level ... 1.7 states/eV per cell
Energy relative to the elements ... -0.1920 eV/atom
SG ... No. 25
ΔE to the lowest computed polymorph ... 56 kJ/mol of formula units
Total DFT energy (no corrections) ... -106.69 eV per cell

Lattice parameters (Å, degrees): 3.310 4.036 7.025 90.00 90.00 90.00
Element x y z (fractional)
Pb 0.000 0.000 0.484
As 0.500 0.500 0.840
Mg 0.000 0.000 0.948
Mg 0.500 0.500 0.228

***

# 9
HfZr2H at its PBEsol-relaxed geometry. Source: Alexandria via LeMat-Bulk, functional SCAN.

## Properties
Density of states at the Fermi level ... 4.0 states/eV per cell
SG ... No. 225
Total DFT energy (no corrections) ... -124.17 eV per cell

Lattice parameters (Å, degrees): 4.654 4.654 4.654 60.00 60.00 60.00
Element x y z (fractional)
H 0.000 0.000 0.000
Hf 0.500 0.500 0.500
Zr 0.250 0.250 0.250
Zr 0.750 0.750 0.750

***

# 10
CuAu at its PBEsol-relaxed geometry. Source: Alexandria via LeMat-Bulk, functional SCAN.

## Properties
Density of states at the Fermi level ... 0.9 states/eV per cell
Energy relative to the elements ... 0.0216 eV/atom
SG ... No. 187
Total DFT energy (no corrections) ... -84.31 eV per cell

Lattice parameters (Å, degrees): 2.812 2.812 4.238 90.00 90.00 120.00
Element x y z (fractional)
Au 0.000 0.000 0.000
Cu 0.667 0.333 0.500

***

# 11
SrNi2Sb at its PBEsol-relaxed geometry. Source: Alexandria via LeMat-Bulk, functional SCAN.

## Properties
Density of states at the Fermi level ... 2.2 states/eV per cell
SG ... No. 44
Formation energy (no corrections) ... 0.49 eV per formula unit
Total DFT energy (no corrections) ... -91.40 eV per cell

Lattice parameters (Å, degrees): 3.254 4.848 5.604 115.63 106.88 90.00
Element x y z (fractional)
Ni 0.050 0.050 0.100
Ni 0.741 0.241 0.482
Sb 0.460 0.460 0.920
Sr 0.249 0.749 0.498

***

# 12
Ag3PS4 at its PBEsol-relaxed geometry. Source: Alexandria via LeMat-Bulk, functional SCAN.

## Properties
Density of states at the Fermi level ... 0.0 states/eV per cell
SG ... No. 31
Formation energy (no corrections) ... -2.01 eV per formula unit
Total DFT energy (no corrections) ... -290.04 eV per cell

Lattice parameters (Å, degrees): 6.442 6.772 7.513 90.00 90.00 90.00
Element x y z (fractional)
Ag 0.072 0.193 0.271
Ag 0.572 0.807 0.229
Ag 0.572 0.807 0.771
Ag 0.072 0.193 0.729
Ag 0.615 0.359 0.500
Ag 0.115 0.641 0.000
P 0.595 0.310 0.000
P 0.095 0.690 0.500
S 0.696 0.161 0.775
S 0.196 0.839 0.725
S 0.225 0.411 0.500
S 0.725 0.589 0.000
S 0.196 0.839 0.275
S 0.696 0.161 0.225
S 0.276 0.307 0.000
S 0.776 0.693 0.500